The following is a DFT calculation (PBE) of a relaxed structure of KTc2Rh.

Its energy above the most stable polymorph in this dataset is 0.901 eV per atom. The value obtained for the energy is -5.83 eV/atom. As for the symmetry: I-42d (122). Its total moment is 0.00 μB per cell. As for the formation energy from the elements: 1.4643 eV per atom.

Cell: 7.6345 7.6345 5.4484 Å, 90.00 90.00 90.00°
With the nearest neighbours (Å) after each atom.
Atoms (fractional coordinates):
K: 0.0000 0.0000 0.0000  2 Rh 2.72
K: 0.0000 0.5000 0.2500  2 Rh 2.72
K: 0.5000 0.0000 0.7500  2 Rh 2.72
K: 0.5000 0.5000 0.5000  2 Rh 2.72
Tc: 0.1887 0.2500 0.6250  2 Rh 2.49
Tc: 0.2500 0.6887 0.8750  2 Rh 2.49
Tc: 0.2500 0.8113 0.3750  2 Rh 2.49
Tc: 0.3113 0.2500 0.1250  2 Rh 2.49
Tc: 0.6887 0.7500 0.1250  2 Rh 2.49
Tc: 0.7500 0.1887 0.3750  2 Rh 2.49
Tc: 0.7500 0.3113 0.8750  2 Rh 2.49
Tc: 0.8113 0.7500 0.6250  2 Rh 2.49
Rh: 0.0000 0.0000 0.5000  4 Tc 2.49, 2 K 2.72
Rh: 0.0000 0.5000 0.7500  4 Tc 2.49, 2 K 2.72
Rh: 0.5000 0.0000 0.2500  4 Tc 2.49, 2 K 2.72
Rh: 0.5000 0.5000 0.0000  4 Tc 2.49, 2 K 2.72